This record from Alexandria describes an optimized crystal structure of TbCe2Gd. The functional is PBE.

The value obtained for the energy above the most stable polymorph in this dataset is 0.0015 eV/atom. Its formation energy is 0.45 eV per formula unit. Its density of states at the Fermi level is 11.23 states/eV/cell.

abc: 3.4646 3.4646 10.2307
angles: 90.00 90.00 90.00
With the nearest neighbours (Å) after each atom.
Space group P4/mmm (No. 123)
Asymmetric unit:
Tb  0.0000  0.0000  0.0000 [1 per cell]  4 Tb 3.46, 8 Ce 3.53
Ce  0.5000  0.5000  0.2485 [2 per cell]  4 Ce 3.46, 4 Tb 3.53, 4 Gd 3.55
Gd  0.0000  0.0000  0.5000 [1 per cell]  4 Gd 3.46, 8 Ce 3.55


This record from Alexandria describes an optimized crystal structure of GaRh3I. The functional is PBE.

The value obtained for the energy above the most stable polymorph in this dataset is 0.3506 eV/atom. The value obtained for the energy relative to the elements, uncorrected is 1.09 eV per atom. Its density of states at the Fermi level is 10.17 states/eV/cell.

abc: 4.8655 4.8655 4.8655
angles: 90.00 90.00 90.00
With the nearest neighbours (Å) after each atom.
Space group Pm-3m (No. 221)
Asymmetric unit:
Ga  0.0000  0.0000  0.0000 [1 per cell]  12 Rh 3.44
Rh  0.0000  0.5000  0.5000 [3 per cell]  2 I 2.43
I  0.5000  0.5000  0.5000 [1 per cell]  6 Rh 2.43


This record from Alexandria describes an optimized crystal structure of CuP5. The functional is PBE.

The value obtained for the energy above the most stable polymorph in this dataset is 0.5187 eV/atom. Its formation energy is 5.02 eV per formula unit. Its density of states at the Fermi level is 10.82 states/eV/cell.

abc: 7.0962 7.0962 7.0962
angles: 90.00 90.00 90.00
With the nearest neighbours (Å) after each atom.
Space group F-43m (No. 216)
Asymmetric unit:
Cu  0.0000  0.0000  0.0000 [4 per cell]  16 P 2.93-3.07
P  0.1286  0.1286  0.3714 [16 per cell]  6 P 2.44-2.58
P  0.2500  0.2500  0.7500 [4 per cell]  12 P 2.95, 4 Cu 3.07